# 1
12
Lattice="6.4080 0.0000 0.0000 0.0000 6.3550 0.0000 -3.2040 -3.1775 8.3327" Properties=species:S:1:pos:R:3 comment="Ho3MgPb2 | Alexandria | PBE | optimized geometry" ef_ev_per_atom=-0.3226 spacegroup="Ibam, No. 72" final_energy_ev_per_cell=-49.4 pbc="T T T"
Ho 1.6896 0.0000 5.4390
Ho 4.8936 0.0000 2.8937
Ho 3.2040 4.7662 0.0000
Pb -1.5497 0.0000 6.0279
Pb 4.7537 3.1775 2.3047
Ho -1.6896 3.1775 5.4390
Ho 1.5144 3.1775 2.8937
Pb 1.6543 0.0000 2.3047
Mg 0.0000 1.5887 0.0000
Ho 3.2040 1.5887 0.0000
Pb 1.5497 3.1775 6.0279
Mg 0.0000 4.7662 0.0000

***

# 2
5
Lattice="-2.9857 -1.5829 -2.2462 2.6072 -2.6794 -1.5774 -0.8903 -2.6714 3.0659" Properties=species:S:1:pos:R:3 comment="LaNbNO2 | Alexandria | PBE | optimized geometry" e_form_raw_ev_per_fu=-11.20 spacegroup="P4/mmm, No. 123" final_energy_ev_per_cell=-44.4 pbc="T T T"
O 1.3036 -1.3397 -0.7887
N -0.4452 -1.3357 1.5330
Nb 0.0000 0.0000 0.0000
O -1.4928 -0.7914 -1.1231
La -0.6344 -3.4668 -0.3788

***

# 3
4
Lattice="4.5269 0.0000 0.0000 0.0000 2.8363 -0.1325 0.0000 1.0857 5.0234" Properties=species:S:1:pos:R:3 comment="Mg2CrRu | Alexandria | PBE | optimized geometry" ef_ev_per_atom=0.3100 polymorph_energy_kj_per_mol_atoms=25.58 spacegroup="P2/m, No. 10" final_energy_ev_per_cell=-20.8 pbc="T T T"
Ru 2.2635 0.9805 1.2227
Cr 2.2635 2.9415 3.6682
Mg 0.0000 0.0388 0.0399
Mg 0.0000 1.9222 2.4055

***

# 4
20
Lattice="-2.9326 0.7586 -1.5200 -2.4469 -8.4719 0.4930 -5.0220 2.0746 10.7246" Properties=species:S:1:pos:R:3 comment="HfTi3Ge | Alexandria | PBE | optimized geometry" ef_ev_per_atom=-0.2897 polymorph_energy_kj_per_mol_atoms=0.00 spacegroup="Pnma, No. 62" final_energy_ev_per_cell=-158.8 pbc="T T T"
Ti -6.9359 -6.0326 8.4821
Ge -6.7022 -3.5122 9.2890
Hf -1.1399 -1.1573 -0.2674
Hf -4.8427 -4.3690 5.2738
Ti -7.4138 -6.0952 5.5946
Ge -4.2567 0.2189 6.4328
Hf -9.2616 -4.4815 9.9651
Ti -3.7806 -6.3941 2.2140
Ti -3.4656 0.3939 1.2156
Ti -7.8455 -1.1755 8.8828
Hf -5.5588 -1.2698 4.4239
Ti -5.0280 -3.7021 2.1858
Ge -6.1448 -5.8576 3.2648
Ti -2.9877 0.4564 4.1030
Ti -2.5560 -4.4632 0.8149
Ti -5.3735 -1.9367 7.5118
Ge -3.6994 -2.1265 0.4087
Ti -7.3809 -3.6721 6.7404
Ti -6.6209 0.7553 7.4836
Ti -3.0206 -1.9667 2.9573

***

# 5
4
Lattice="5.0217 0.0000 0.0000 2.5108 4.3489 0.0000 2.5108 1.4496 4.1002" Properties=species:S:1:pos:R:3 comment="ErZnAgPb | Alexandria | PBE | optimized geometry" ef_ev_per_atom=-0.1729 spacegroup="F-43m, No. 216" final_energy_ev_per_cell=-13.1 pbc="T T T"
Zn 7.5325 4.3489 3.0751
Pb 5.0217 2.8993 2.0501
Ag 2.5108 1.4496 1.0250
Er 0.0000 0.0000 0.0000